w) Compound: NaSr4Ca5
Source: Alexandria via LeMat-Bulk
Functional: GGA-PBE
Structure: relaxed

Cell lengths 9.1925, 9.1925, 9.1925 Å; angles 97.14, 97.14, 138.73 degrees
Last column: nearest neighbours and their distance in Å.
Positions (direct):
Na (0.0000, 0.0000, 0.0000)  5 Ca 3.04-3.39
Sr (0.2832, 0.5998, 0.3166)  7 Ca 3.90-4.25, 1 Na 4.27
Sr (0.2832, 0.9667, 0.6834)  7 Ca 3.90-4.25, 1 Na 4.27
Sr (0.5998, 0.2832, 0.3166)  7 Ca 3.90-4.25, 1 Na 4.27
Sr (0.9667, 0.2832, 0.6834)  7 Ca 3.90-4.25, 1 Na 4.27
Ca (0.4693, 0.4693, 0.0000)  1 Na 3.04
Ca (0.6048, 0.6048, 0.6406)  1 Na 3.39, 1 Ca 3.71
Ca (0.6048, 0.9643, 0.0000)  1 Na 3.39, 1 Ca 3.71
Ca (0.9643, 0.6048, 0.0000)  1 Na 3.39, 1 Ca 3.71
Ca (0.9643, 0.9643, 0.3594)  1 Na 3.39, 1 Ca 3.71

DOS(E_F): 14.8 states/eV/f.u.
magnetic moment: 0.000 μB/atom



x) Compound: NaSr4Ca5
Source: Alexandria via LeMat-Bulk
Functional: GGA-PBE
Structure: relaxed

Cell lengths 10.0542, 10.0542, 12.7055 Å; angles 108.81, 108.81, 22.73 degrees
Last column: nearest neighbours and their distance in Å.
Positions (direct):
Na (0.0000, 0.0000, 0.0000)  6 Sr 3.64-4.04, 2 Na 3.96
Sr (0.1079, 0.1079, 0.2942)  1 Na 3.64, 4 Ca 3.77-4.01, 2 Sr 3.96
Sr (0.4100, 0.4100, 0.1982)  6 Ca 3.90-4.16, 4 Sr 3.96-4.18, 2 Na 4.04
Sr (0.5900, 0.5900, 0.8018)  6 Ca 3.90-4.16, 4 Sr 3.96-4.18, 2 Na 4.04
Sr (0.8921, 0.8921, 0.7058)  1 Na 3.64, 4 Ca 3.77-4.01, 2 Sr 3.96
Ca (0.0000, 0.0000, 0.5000)  6 Sr 3.88-4.16, 6 Ca 3.96-4.06
Ca (0.2812, 0.2812, 0.8812)  6 Ca 3.96-4.13, 5 Sr 3.99-4.11
Ca (0.3101, 0.3101, 0.4168)  4 Sr 3.77-4.01, 8 Ca 3.96-4.16
Ca (0.6899, 0.6899, 0.5832)  4 Sr 3.77-4.01, 8 Ca 3.96-4.16
Ca (0.7188, 0.7188, 0.1188)  6 Ca 3.96-4.13, 5 Sr 3.99-4.11

DOS(E_F): 11.8 states/eV/f.u.
magnetic moment: 0.000 μB/atom



Need the numbers? Relative energies in eV/atom: w) 0.054; x) 0.000.